[1]
DFT (SCAN) results for Zr4NiP at its PBEsol-relaxed geometry.

Unit cell a=6.3951 b=6.3951 c=5.2652 alpha=90.00 beta=90.00 gamma=90.00
Closest atoms and distances in Å follow each position.
Space group P4/mcc (No. 124)
Unique sites:
Zr1 0.1595 0.3395 0.0000 (multiplicity 8)  2 Ni 2.74, 2 P 2.74, 1 Zr 2.89
Ni1 0.0000 0.0000 0.2500 (multiplicity 2)  2 Ni 2.63, 8 Zr 2.74
P1 0.5000 0.5000 0.2500 (multiplicity 2)  2 P 2.63, 8 Zr 2.74

Formation energy: -419.9 kJ/mol of formula units
V: 17.9 Å³/atom



[2]
DFT (SCAN) results for LiZnCo at its PBEsol-relaxed geometry.

Unit cell a=5.6116 b=5.6116 c=5.6116 alpha=90.00 beta=90.00 gamma=90.00
Closest atoms and distances in Å follow each position.
Space group F-43m (No. 216)
Unique sites:
Li1 0.0000 0.0000 0.0000 (multiplicity 4)  4 Co 2.43
Zn1 0.0000 0.0000 0.5000 (multiplicity 4)  4 Co 2.43
Co1 0.2500 0.2500 0.2500 (multiplicity 4)  4 Zn 2.43, 4 Li 2.43

Formation energy: 115.0 kJ/mol of formula units
V: 14.7 Å³/atom